(1)
Computed, not measured: a geometry-optimized BaY structure at the PBE level of DFT. Values from VASP.

Geometry as Quantum ESPRESSO input:
```
&SYSTEM
  ibrav = 0, nat = 4, ntyp = 2
/
ATOMIC_SPECIES
Ba 137.33 Ba.upf
Y 88.91 Y.upf
CELL_PARAMETERS angstrom
3.767 0.000 0.000
-1.884 3.262 0.000
0.000 0.000 13.566
ATOMIC_POSITIONS crystal
Ba 0.333 0.667 0.000
Ba 0.667 0.333 0.500
Y 0.333 0.667 0.260
Y 0.667 0.333 0.760
```

Relative energy among the computed polymorphs   213 meV per atom
Energy of formation   372 meV/atom
Symmetry   No. 186

(2)
Computed, not measured: a geometry-optimized KCeHgBr6 structure at the PBE level of DFT. Values from VASP.

Geometry as Quantum ESPRESSO input:
```
&SYSTEM
  ibrav = 0, nat = 18, ntyp = 4
/
ATOMIC_SPECIES
K 39.10 K.upf
Ce 140.12 Ce.upf
Hg 200.59 Hg.upf
Br 79.90 Br.upf
CELL_PARAMETERS angstrom
7.507 0.000 0.000
-3.753 6.501 0.000
0.000 0.000 14.443
ATOMIC_POSITIONS crystal
K 0.000 0.000 0.000
K 0.000 0.000 0.500
Ce 0.333 0.667 0.250
Ce 0.667 0.333 0.750
Hg 0.333 0.667 0.750
Hg 0.667 0.333 0.250
Br 0.002 0.371 0.634
Br 0.002 0.631 0.866
Br 0.369 0.371 0.866
Br 0.369 0.998 0.634
Br 0.371 0.002 0.134
Br 0.371 0.369 0.366
Br 0.629 0.631 0.634
Br 0.629 0.998 0.866
Br 0.631 0.002 0.366
Br 0.631 0.629 0.134
Br 0.998 0.369 0.134
Br 0.998 0.629 0.366
```

Energy relative to the elements, uncorrected   -1.33 eV/atom
Symmetry   No. 163

(3)
Computed, not measured: a geometry-optimized Ca2La12Nd5 structure at the PBE level of DFT. Values from VASP.

Geometry as Quantum ESPRESSO input:
```
&SYSTEM
  ibrav = 0, nat = 19, ntyp = 3
/
ATOMIC_SPECIES
Ca 40.08 Ca.upf
La 138.91 La.upf
Nd 144.24 Nd.upf
CELL_PARAMETERS angstrom
6.751 -5.977 0.000
6.751 5.977 0.000
-4.321 0.000 8.713
ATOMIC_POSITIONS crystal
Ca 0.231 0.769 0.000
Ca 0.769 0.231 0.000
La 0.063 0.553 0.198
La 0.075 0.075 0.777
La 0.113 0.670 0.573
La 0.330 0.887 0.427
La 0.374 0.374 0.056
La 0.447 0.937 0.802
La 0.553 0.063 0.198
La 0.626 0.626 0.944
La 0.670 0.113 0.573
La 0.887 0.330 0.427
La 0.925 0.925 0.223
La 0.937 0.447 0.802
Nd 0.191 0.191 0.237
Nd 0.308 0.308 0.669
Nd 0.500 0.500 0.500
Nd 0.692 0.692 0.331
Nd 0.809 0.809 0.763
```

Energy of formation   105 meV/atom
Symmetry   No. 12

| no. | DOS(E_F) (states/eV per atom) |
| --- | --- |
| 1 | 1.4748 |
| 2 | 0.9445 |
| 3 | 1.6423 |